Entry from Alexandria via LeMat-Bulk: an optimized crystal structure of CaIr2WI (PBE).

a b c (Å): 4.8775 4.8775 4.8980
angles (deg): 90.00 90.00 90.00
Space group P4/mmm (No. 123)
Unique sites:
Ca1 0.0000 0.0000 0.0000 (multiplicity 1)
Ir1 0.0000 0.5000 0.0000 (multiplicity 2)
W1 0.0000 0.0000 0.5000 (multiplicity 1)
I1 0.5000 0.5000 0.5000 (multiplicity 1)

Summary:
For the total energy, the calculation gives -4.0909 eV per atom. As for the energy relative to the elements, uncorrected: 2.75 eV/atom.

Entry from Alexandria via LeMat-Bulk: an optimized crystal structure of CaYIrI2 (PBE).

a b c (Å): 5.6419 5.6419 5.1932
angles (deg): 90.00 90.00 90.00
Space group P4/mmm (No. 123)
Unique sites:
Ca1 0.0000 0.0000 0.0000 (multiplicity 1)
Y1 0.5000 0.5000 0.0000 (multiplicity 1)
Ir1 0.5000 0.5000 0.5000 (multiplicity 1)
I1 0.0000 0.5000 0.5000 (multiplicity 2)

Summary:
For the total energy, the calculation gives -4.1449 eV per atom. As for the energy relative to the elements, uncorrected: -0.06 eV/atom.

Entry from Alexandria via LeMat-Bulk: an optimized crystal structure of K3Ca2I7 (PBE).

a b c (Å): 6.1783 30.9846 6.1002
angles (deg): 90.00 90.00 90.00
Space group Cmmm (No. 65)
Unique sites:
K1 0.0000 0.0000 0.0000 (multiplicity 2)
K2 0.0000 0.1707 0.0000 (multiplicity 4)
Ca1 0.0000 0.3976 0.5000 (multiplicity 4)
I1 0.0000 0.0955 0.5000 (multiplicity 4)
I2 0.0000 0.3003 0.5000 (multiplicity 4)
I3 0.0000 0.4040 0.0000 (multiplicity 4)
I4 0.0000 0.5000 0.5000 (multiplicity 2)

Summary:
For the total energy, the calculation gives -2.9651 eV per atom. As for the energy relative to the elements, uncorrected: -1.45 eV/atom.

Entry from Alexandria via LeMat-Bulk: an optimized crystal structure of KCaI3 (PBE).

a b c (Å): 4.5990 15.4576 11.7587
angles (deg): 90.00 90.00 90.00
Space group Cmcm (No. 63)
Unique sites:
K1 0.0000 0.2470 0.2500 (multiplicity 4)
Ca1 0.0000 0.5000 0.0000 (multiplicity 4)
I1 0.0000 0.1345 0.5565 (multiplicity 8)
I2 0.0000 0.4276 0.7500 (multiplicity 4)

Summary:
For the total energy, the calculation gives -3.1082 eV per atom. As for the energy relative to the elements, uncorrected: -1.56 eV/atom.

Entry from Alexandria via LeMat-Bulk: an optimized crystal structure of K5Ca3I12 (PBE).

a b c (Å): 20.6620 20.6620 20.6620
angles (deg): 90.00 90.00 90.00
Space group Ia-3d (No. 230)
Unique sites:
K1 0.0000 0.0000 0.0000 (multiplicity 16)
K2 0.0000 0.2500 0.3750 (multiplicity 24)
Ca1 0.0000 0.2500 0.1250 (multiplicity 24)
I1 0.0223 0.0500 0.3404 (multiplicity 96)

Summary:
For the total energy, the calculation gives -2.8102 eV per atom. As for the energy relative to the elements, uncorrected: -1.31 eV/atom.

Entry from Alexandria via LeMat-Bulk: an optimized crystal structure of KCa2I4 (PBE).

a b c (Å): 4.9107 14.6196 15.7460
angles (deg): 90.00 90.00 90.00
Space group Cmcm (No. 63)
Unique sites:
K1 0.0000 0.1220 0.2500 (multiplicity 4)
Ca1 0.0000 0.3774 0.0592 (multiplicity 8)
I1 0.0000 0.0000 0.0000 (multiplicity 4)
I2 0.0000 0.2617 0.6126 (multiplicity 8)
I3 0.0000 0.4480 0.2500 (multiplicity 4)

Summary:
For the total energy, the calculation gives -2.9718 eV per atom. As for the energy relative to the elements, uncorrected: -1.36 eV/atom.

Entry from Alexandria via LeMat-Bulk: an optimized crystal structure of K2CaI4 (PBE).

a b c (Å): 16.0226 4.7568 9.3364
angles (deg): 90.00 117.75 90.00
Space group C2/m (No. 12)
Unique sites:
K1 0.1920 0.0000 0.1799 (multiplicity 4)
Ca1 0.0000 0.5000 0.5000 (multiplicity 2)
I1 0.0957 0.5000 0.8744 (multiplicity 4)
I2 0.1394 0.0000 0.5168 (multiplicity 4)

Summary:
For the total energy, the calculation gives -2.9975 eV per atom. As for the energy relative to the elements, uncorrected: -1.51 eV/atom. The value obtained for the offset from the most stable computed form is 0.030 eV per atom.

Entry from Alexandria via LeMat-Bulk: an optimized crystal structure of KCa2I2 (PBE).

a b c (Å): 5.6673 5.6673 14.2647
angles (deg): 90.00 90.00 90.00
Space group I4/mmm (No. 139)
Unique sites:
K1 0.0000 0.0000 0.0000 (multiplicity 2)
Ca1 0.0000 0.0000 0.3705 (multiplicity 4)
I1 0.0000 0.5000 0.2500 (multiplicity 4)

Summary:
For the total energy, the calculation gives -2.4261 eV per atom. As for the energy relative to the elements, uncorrected: -0.79 eV/atom. The value obtained for the offset from the most stable computed form is 0.000 eV per atom.

Entry from Alexandria via LeMat-Bulk: an optimized crystal structure of K2CaI4 (PBE).

a b c (Å): 8.8248 14.7069 4.8216
angles (deg): 90.00 90.00 90.00
Space group Pbam (No. 55)
Unique sites:
K1 0.0866 0.1797 0.0000 (multiplicity 4)
Ca1 0.0000 0.5000 0.5000 (multiplicity 2)
I1 0.1248 0.6985 0.5000 (multiplicity 4)
I2 0.2296 0.4529 0.0000 (multiplicity 4)

Summary:
For the total energy, the calculation gives -3.0272 eV per atom. As for the energy relative to the elements, uncorrected: -1.54 eV/atom. The value obtained for the offset from the most stable computed form is 0.000 eV per atom.

Entry from Alexandria via LeMat-Bulk: an optimized crystal structure of K2Ca3I8 (PBE).

a b c (Å): 17.3343 9.2967 8.0029
angles (deg): 90.00 107.90 90.00
Space group C2/m (No. 12)
Unique sites:
K1 0.2357 0.0000 0.1606 (multiplicity 4)
Ca1 0.0000 0.2422 0.5000 (multiplicity 4)
Ca2 0.0000 0.5000 0.0000 (multiplicity 2)
I1 0.1051 0.5000 0.4040 (multiplicity 4)
I2 0.1081 0.2668 0.8961 (multiplicity 8)
I3 0.1130 0.0000 0.4409 (multiplicity 4)

Summary:
For the total energy, the calculation gives -3.1595 eV per atom. As for the energy relative to the elements, uncorrected: -1.57 eV/atom.

Entry from Alexandria via LeMat-Bulk: an optimized crystal structure of KCa3I (PBE).

a b c (Å): 6.2880 6.2880 6.2880
angles (deg): 90.00 90.00 90.00
Space group Pm-3m (No. 221)
Unique sites:
K1 0.0000 0.0000 0.0000 (multiplicity 1)
Ca1 0.0000 0.5000 0.5000 (multiplicity 3)
I1 0.5000 0.5000 0.5000 (multiplicity 1)

Summary:
For the total energy, the calculation gives -1.7672 eV per atom. As for the energy relative to the elements, uncorrected: -0.04 eV/atom. The value obtained for the offset from the most stable computed form is 0.000 eV per atom.

Entry from Alexandria via LeMat-Bulk: an optimized crystal structure of K3CaI (PBE).

a b c (Å): 7.5672 7.5672 7.5672
angles (deg): 90.00 90.00 90.00
Space group Pm-3m (No. 221)
Unique sites:
K1 0.0000 0.0000 0.5000 (multiplicity 3)
Ca1 0.0000 0.0000 0.0000 (multiplicity 1)
I1 0.5000 0.5000 0.5000 (multiplicity 1)

Summary:
For the total energy, the calculation gives -1.2600 eV per atom. As for the energy relative to the elements, uncorrected: 0.11 eV/atom. The value obtained for the offset from the most stable computed form is 0.439 eV per atom.

no.,theoretical density (Mg/m³)
1,10.48
2,5.78
3,3.09
4,3.65
5,2.77
6,3.68
7,3.30
8,2.70
9,3.32
10,3.28
11,1.91
12,1.09